No. 1
Pm2SmFe after structural relaxation, computed with PBE-GGA.

Cell lengths 3.539, 3.539, 8.902 Å; angles 90.00, 90.00, 90.00 degrees
Space group P4/mmm (No. 123)
Asymmetric unit:
Pm (0.000, 0.000, 0.188) [2 per cell]
Sm (0.500, 0.500, 0.500) [1 per cell]
Fe (0.500, 0.500, 0.000) [1 per cell]

## Properties
E above lowest polymorph (meV per atom): 0
Energy of formation (eV/atom): 0.16

***

No. 2
NaSr4La3Te8 after structural relaxation, computed with PBE-GGA.

Cell lengths 16.124, 9.307, 9.344 Å; angles 90.00, 125.12, 90.00 degrees
Space group C2/m (No. 12)
Asymmetric unit:
Na (0.000, 0.000, 0.000) [2 per cell]
Sr (0.000, 0.000, 0.500) [2 per cell]
Sr (0.000, 0.500, 0.500) [2 per cell]
Sr (0.250, 0.250, 0.500) [4 per cell]
La (0.000, 0.500, 0.000) [2 per cell]
La (0.250, 0.250, 0.000) [4 per cell]
Te (0.003, 0.251, 0.758) [8 per cell]
Te (0.248, 0.000, 0.243) [4 per cell]
Te (0.248, 0.500, 0.244) [4 per cell]

## Properties
Energy relative to the elements, uncorrected (eV per formula unit): -25.64